No. 1
An optimized crystal structure of PuNbZn2, computed with PBE.

CIF file:
```
data_PuNbZn2
_cell_length_a 2.8901
_cell_length_b 2.8901
_cell_length_c 8.6670
_cell_angle_alpha 90.00
_cell_angle_beta 90.00
_cell_angle_gamma 90.00
_space_group_name_H-M_alt 'P 4/m m m'
_space_group_IT_number 123
_space_group_name_Hall '-P 4 2'
loop_
_atom_site_label
_atom_site_fract_x
_atom_site_fract_y
_atom_site_fract_z
_atom_site_occupancy
Pu1 0.0000 0.0000 0.0000 1
Nb1 0.0000 0.0000 0.5000 1
Zn1 0.5000 0.5000 0.2722 1
```

Computed properties:
**N(E_F)**: 4.985 states/eV per cell
**Total energy**: -6.7904 eV per atom
**Calculated density**: 10.7 g/cm3
**V**: 18.10 A^3/atom

***

No. 2
An optimized crystal structure of VNi7, computed with PBE.

CIF file:
```
data_VNi7
_cell_length_a 5.0160
_cell_length_b 5.0160
_cell_length_c 4.0516
_cell_angle_alpha 90.00
_cell_angle_beta 90.00
_cell_angle_gamma 120.00
_space_group_name_H-M_alt 'P -6 m 2'
_space_group_IT_number 187
_space_group_name_Hall 'P -6 2'
loop_
_atom_site_label
_atom_site_fract_x
_atom_site_fract_y
_atom_site_fract_z
_atom_site_occupancy
V1 0.0000 0.0000 0.0000 1
Ni1 0.1677 0.3354 0.5000 1
Ni2 0.5011 0.0022 0.0000 1
Ni3 0.6667 0.3333 0.5000 1
```

Computed properties:
**N(E_F)**: 12.974 states/eV per cell
**Total energy**: -6.2867 eV per atom
**Calculated density**: 8.7 g/cm3
**V**: 11.04 A^3/atom

***

No. 3
An optimized crystal structure of Zr2OsPt2, computed with PBE.

CIF file:
```
data_Zr2OsPt2
_cell_length_a 7.0805
_cell_length_b 7.0805
_cell_length_c 3.6796
_cell_angle_alpha 90.00
_cell_angle_beta 90.00
_cell_angle_gamma 90.00
_space_group_name_H-M_alt 'P 4/m b m'
_space_group_IT_number 127
_space_group_name_Hall '-P 4 2ab'
loop_
_atom_site_label
_atom_site_fract_x
_atom_site_fract_y
_atom_site_fract_z
_atom_site_occupancy
Zr1 0.1764 0.3236 0.0000 1
Os1 0.0000 0.0000 0.5000 1
Pt1 0.1310 0.6310 0.5000 1
```

Computed properties:
**N(E_F)**: 12.870 states/eV per cell
**Calculated density**: 13.7 g/cm3
**Relative energy among the computed polymorphs**: 0.0000 eV/atom
**V**: 18.45 A^3/atom

***

No. 4
An optimized crystal structure of PuCu4As3, computed with PBE.

CIF file:
```
data_PuCu4As3
_cell_length_a 3.9304
_cell_length_b 3.9304
_cell_length_c 8.7787
_cell_angle_alpha 90.00
_cell_angle_beta 90.00
_cell_angle_gamma 90.00
_space_group_name_H-M_alt 'P 4/m m m'
_space_group_IT_number 123
_space_group_name_Hall '-P 4 2'
loop_
_atom_site_label
_atom_site_fract_x
_atom_site_fract_y
_atom_site_fract_z
_atom_site_occupancy
Pu1 0.0000 0.0000 0.0000 1
Cu1 0.0000 0.5000 0.3271 1
As1 0.0000 0.0000 0.5000 1
As2 0.5000 0.5000 0.1585 1
```

Computed properties:
**N(E_F)**: 11.831 states/eV per cell
**Total energy**: -5.8346 eV per atom
**Calculated density**: 8.9 g/cm3
**V**: 16.95 A^3/atom

***

No. 5
An optimized crystal structure of Pr2SmGa2Ni2, computed with PBE.

CIF file:
```
data_Pr2SmGa2Ni2
_cell_length_a 4.3564
_cell_length_b 4.3564
_cell_length_c 29.6209
_cell_angle_alpha 90.00
_cell_angle_beta 90.00
_cell_angle_gamma 120.00
_space_group_name_H-M_alt 'R -3 m'
_space_group_IT_number 166
_space_group_name_Hall '-R 3 2"'
loop_
_atom_site_label
_atom_site_fract_x
_atom_site_fract_y
_atom_site_fract_z
_atom_site_occupancy
Pr1 0.0000 0.0000 0.1184 1
Sm1 0.0000 0.0000 0.0000 1
Ga1 0.0000 0.0000 0.2721 1
Ni1 0.0000 0.0000 0.3944 1
```

Computed properties:
**N(E_F)**: 24.092 states/eV per cell
**Total energy**: -5.0043 eV per atom
**Calculated density**: 7.1 g/cm3
**V**: 23.18 A^3/atom

***

No. 6
An optimized crystal structure of Mo3Ru2N, computed with PBE.

CIF file:
```
data_Mo3Ru2N
_cell_length_a 6.8453
_cell_length_b 6.8453
_cell_length_c 6.8453
_cell_angle_alpha 90.00
_cell_angle_beta 90.00
_cell_angle_gamma 90.00
_space_group_name_H-M_alt 'P 41 3 2'
_space_group_IT_number 213
_space_group_name_Hall 'P 4bd 2ab 3'
loop_
_atom_site_label
_atom_site_fract_x
_atom_site_fract_y
_atom_site_fract_z
_atom_site_occupancy
Mo1 0.0447 0.1250 0.7947 1
Ru1 0.0654 0.9346 0.4346 1
N1 0.1250 0.3750 0.6250 1
```

Computed properties:
**N(E_F)**: 23.247 states/eV per cell
**ΔE_f (raw)**: -0.159 eV per atom
**Calculated density**: 10.4 g/cm3
**V**: 13.37 A^3/atom

***

No. 7
An optimized crystal structure of K4Ho3ScS8, computed with PBE.

CIF file:
```
data_K4Ho3ScS8
_cell_length_a 7.9760
_cell_length_b 7.9760
_cell_length_c 22.0435
_cell_angle_alpha 90.00
_cell_angle_beta 90.00
_cell_angle_gamma 120.00
_space_group_name_H-M_alt 'R -3 m'
_space_group_IT_number 166
_space_group_name_Hall '-R 3 2"'
loop_
_atom_site_label
_atom_site_fract_x
_atom_site_fract_y
_atom_site_fract_z
_atom_site_occupancy
K1 0.0000 0.0000 0.0000 1
K2 0.0000 0.5000 0.0000 1
Ho1 0.0000 0.5000 0.5000 1
Sc1 0.0000 0.0000 0.5000 1
S1 0.0000 0.0000 0.2341 1
S2 0.0098 0.5049 0.2325 1
```

Computed properties:
**N(E_F)**: 0.000 states/eV per cell
**ΔE_f (raw)**: -1.850 eV per atom
**Calculated density**: 3.9 g/cm3
**V**: 25.30 A^3/atom

***

No. 8
An optimized crystal structure of NdTmCdPb, computed with PBE.

CIF file:
```
data_NdTmCdPb
_cell_length_a 7.6268
_cell_length_b 7.6268
_cell_length_c 7.6268
_cell_angle_alpha 90.00
_cell_angle_beta 90.00
_cell_angle_gamma 90.00
_space_group_name_H-M_alt 'F -4 3 m'
_space_group_IT_number 216
_space_group_name_Hall 'F -4 2 3'
loop_
_atom_site_label
_atom_site_fract_x
_atom_site_fract_y
_atom_site_fract_z
_atom_site_occupancy
Nd1 0.0000 0.0000 0.0000 1
Tm1 0.0000 0.0000 0.5000 1
Cd1 0.2500 0.2500 0.7500 1
Pb1 0.2500 0.2500 0.2500 1
```

Computed properties:
**N(E_F)**: 14.041 states/eV per cell
**Total energy**: -3.8438 eV per atom
**Calculated density**: 9.5 g/cm3
**V**: 27.73 A^3/atom

***

No. 9
An optimized crystal structure of CaIn2GeB, computed with PBE.

CIF file:
```
data_CaIn2GeB
_cell_length_a 4.6364
_cell_length_b 4.6364
_cell_length_c 5.1518
_cell_angle_alpha 90.00
_cell_angle_beta 90.00
_cell_angle_gamma 90.00
_space_group_name_H-M_alt 'P 4/m m m'
_space_group_IT_number 123
_space_group_name_Hall '-P 4 2'
loop_
_atom_site_label
_atom_site_fract_x
_atom_site_fract_y
_atom_site_fract_z
_atom_site_occupancy
Ca1 0.0000 0.0000 0.0000 1
In1 0.0000 0.5000 0.5000 1
Ge1 0.5000 0.5000 0.0000 1
B1 0.0000 0.0000 0.5000 1
```

Computed properties:
**N(E_F)**: 3.710 states/eV per cell
**Total energy**: -3.4820 eV per atom
**Calculated density**: 5.3 g/cm3
**V**: 22.15 A^3/atom

***

No. 10
An optimized crystal structure of DyThCdIr, computed with PBE.

CIF file:
```
data_DyThCdIr
_cell_length_a 7.2785
_cell_length_b 7.2785
_cell_length_c 7.2785
_cell_angle_alpha 90.00
_cell_angle_beta 90.00
_cell_angle_gamma 90.00
_space_group_name_H-M_alt 'F -4 3 m'
_space_group_IT_number 216
_space_group_name_Hall 'F -4 2 3'
loop_
_atom_site_label
_atom_site_fract_x
_atom_site_fract_y
_atom_site_fract_z
_atom_site_occupancy
Dy1 0.0000 0.0000 0.0000 1
Th1 0.0000 0.0000 0.5000 1
Cd1 0.2500 0.2500 0.2500 1
Ir1 0.2500 0.2500 0.7500 1
```

Computed properties:
**N(E_F)**: 15.037 states/eV per cell
**Total energy**: -5.8633 eV per atom
**Calculated density**: 12.0 g/cm3
**V**: 24.10 A^3/atom

***

No. 11
An optimized crystal structure of Cd3GaSn, computed with PBE.

CIF file:
```
data_Cd3GaSn
_cell_length_a 5.6786
_cell_length_b 5.9665
_cell_length_c 7.1333
_cell_angle_alpha 90.00
_cell_angle_beta 97.24
_cell_angle_gamma 90.00
_space_group_name_H-M_alt 'P 1 21/m 1'
_space_group_IT_number 11
loop_
_space_group_symop_operation_xyz
'x,y,z'
'-x,-y,-z'
'-x,y+1/2,-z'
'x,-y+1/2,z'
loop_
_atom_site_label
_atom_site_fract_x
_atom_site_fract_y
_atom_site_fract_z
_atom_site_occupancy
Cd1 0.1260 0.0005 0.1993 1
Cd2 0.2473 0.2500 0.5978 1
Ga1 0.4882 0.2500 0.9830 1
Sn1 0.3141 0.7500 0.6123 1
```

Computed properties:
**N(E_F)**: 3.724 states/eV per cell
**Calculated density**: 7.3 g/cm3
**Relative energy among the computed polymorphs**: 0.0269 eV/atom
**V**: 23.98 A^3/atom

***

No. 12
An optimized crystal structure of Ac6CoIr2Pd, computed with PBE.

CIF file:
```
data_Ac6CoIr2Pd
_cell_length_a 7.4743
_cell_length_b 7.4757
_cell_length_c 8.1540
_cell_angle_alpha 117.26
_cell_angle_beta 90.03
_cell_angle_gamma 119.98
_space_group_name_H-M_alt 'P 1'
_space_group_IT_number 1
loop_
_space_group_symop_operation_xyz
'x,y,z'
loop_
_atom_site_label
_atom_site_fract_x
_atom_site_fract_y
_atom_site_fract_z
_atom_site_occupancy
Ac1 0.0000 0.0000 0.0000 1
Ac2 0.1510 0.6722 0.4872 1
Ac3 0.3289 0.6701 0.9998 1
Ac4 0.4845 0.3072 0.4866 1
Ac5 0.6702 0.3413 0.9993 1
Ac6 0.8494 0.0054 0.4865 1
Co1 0.0788 0.8287 0.2375 1
Ir1 0.2516 0.1751 0.7568 1
Ir2 0.7466 0.1646 0.2407 1
Pd1 0.5782 0.8272 0.7350 1
```

Computed properties:
**N(E_F)**: 5.160 states/eV per cell
**Total energy**: -5.9348 eV per atom
**Calculated density**: 9.5 g/cm3
**V**: 33.49 A^3/atom